1.
VASP calculation (GGA-PBE) on a geometry-optimized LaCd4Rh structure. Values from VASP.

Properties
The symmetry is No. 216. The value obtained for the calculated formation energy is -1.041 eV per formula unit. The calculation puts the excess energy over the best structure of this formula in the dataset at 0.190 eV per atom.

```
&SYSTEM
  ibrav = 0, nat = 6, ntyp = 3
/
ATOMIC_SPECIES
Cd 112.41 Cd.upf
Rh 102.91 Rh.upf
La 138.91 La.upf
CELL_PARAMETERS angstrom
0.279 3.092 4.810
-4.503 0.217 3.529
0.217 -2.626 5.083
ATOMIC_POSITIONS crystal
Cd 0.374 0.374 0.374
Cd 0.374 0.374 0.879
Cd 0.374 0.879 0.374
Cd 0.879 0.374 0.374
Rh 0.000 0.000 0.000
La 0.750 0.750 0.750
```

2.
VASP calculation (GGA-PBE) on a geometry-optimized AcCeCdAg structure. Values from VASP.

Properties
The symmetry is No. 216. The value obtained for the calculated formation energy is -0.545 eV per formula unit.

```
&SYSTEM
  ibrav = 0, nat = 4, ntyp = 4
/
ATOMIC_SPECIES
Cd 112.41 Cd.upf
Ac 227.00 Ac.upf
Ce 140.12 Ce.upf
Ag 107.87 Ag.upf
CELL_PARAMETERS angstrom
-3.566 0.008 -4.231
-5.373 -0.960 0.909
-3.671 4.108 -0.517
ATOMIC_POSITIONS crystal
Cd 0.750 0.750 0.750
Ac 0.000 0.000 0.000
Ce 0.500 0.500 0.500
Ag 0.250 0.250 0.250
```

3.
VASP calculation (GGA-PBE) on a geometry-optimized Y3SnRu structure. Values from VASP.

Properties
The symmetry is No. 221. The value obtained for the calculated formation energy is -1.075 eV per formula unit. The calculation puts the excess energy over the best structure of this formula in the dataset at 0.000 eV per atom.

```
&SYSTEM
  ibrav = 0, nat = 5, ntyp = 3
/
ATOMIC_SPECIES
Y 88.91 Y.upf
Sn 118.71 Sn.upf
Ru 101.07 Ru.upf
CELL_PARAMETERS angstrom
5.496 0.000 0.000
0.000 5.496 0.000
0.000 0.000 5.496
ATOMIC_POSITIONS crystal
Y 0.000 0.500 0.000
Y 0.500 0.000 0.000
Y 0.000 0.000 0.500
Sn 0.500 0.500 0.500
Ru 0.000 0.000 0.000
```

4.
VASP calculation (GGA-PBE) on a geometry-optimized BaLiCuPb structure. Values from VASP.

Properties
The symmetry is No. 216. The value obtained for the calculated formation energy is -0.642 eV per formula unit.

```
&SYSTEM
  ibrav = 0, nat = 4, ntyp = 4
/
ATOMIC_SPECIES
Ba 137.33 Ba.upf
Pb 207.20 Pb.upf
Cu 63.55 Cu.upf
Li 6.94 Li.upf
CELL_PARAMETERS angstrom
5.221 0.000 0.000
2.611 4.522 0.000
2.611 1.507 4.263
ATOMIC_POSITIONS crystal
Ba 0.000 0.000 0.000
Pb 0.500 0.500 0.500
Cu 0.250 0.250 0.250
Li 0.750 0.750 0.750
```